Material: NdScGa4Ir2
Method: DFT, PBE
State: relaxed

Lattice parameters (Å, degrees): 4.2280 6.9972 5.4300 90.00 112.76 90.00
Sites, in units of the cell vectors:
Nd: 0.0000 0.0000 0.0000
Sc: 0.1515 0.5000 0.3034
Ga: 0.4344 0.3097 0.8672
Ga: 0.4344 0.6903 0.8672
Ga: 0.7134 0.2063 0.4276
Ga: 0.7134 0.7937 0.4276
Ir: 0.2842 0.0000 0.5693
Ir: 0.8684 0.5000 0.7345

Calculated values
* mass density: 9.6 g cm⁻³
* electronic total energy: -5.80 eV per atom